## BaWSe2 (PBE)

Data for a geometry-optimized BaWSe2 structure.

Unit cell a=3.900 b=3.963 c=7.035 alpha=90.00 beta=90.00 gamma=90.00
Space group Pmmm (No. 47)
Symmetry-distinct sites (fractional):
Ba (0.000, 0.000, 0.000) (multiplicity 1)
W (0.500, 0.000, 0.500) (multiplicity 1)
Se (0.500, 0.500, 0.266) (multiplicity 2)

E above lowest polymorph (kJ/mol of formula units): 75
Crystal system: orthorhombic
Formation energy from raw total energies (eV per atom): -0.32